(1)
ZrV2Au2: relaxed, GGA-PBE.

The energy relative to the elements is 0.01 eV/atom.

The structure in CIF format:
```
data_ZrV2Au2
_space_group_name_H-M_alt 'I 4/m m m'
_space_group_IT_number 139
_space_group_name_Hall '-I 4 2'
_cell_length_a 3.603
_cell_length_b 3.603
_cell_length_c 13.738
_cell_angle_alpha 90.00
_cell_angle_beta 90.00
_cell_angle_gamma 90.00
loop_
_atom_site_label
_atom_site_type_symbol
_atom_site_fract_x
_atom_site_fract_y
_atom_site_fract_z
Zr1 Zr 0.000 0.000 0.000
V1 V 0.000 0.500 0.250
Au1 Au 0.000 0.000 0.400
```

---

(2)
TiBeAu: relaxed, GGA-PBE.

The energy relative to the elements is -0.15 eV/atom.

The structure in CIF format:
```
data_TiBeAu
_space_group_name_H-M_alt 'C m c e'
_space_group_IT_number 64
_space_group_name_Hall '-C 2ac 2'
_cell_length_a 5.416
_cell_length_b 10.590
_cell_length_c 6.163
_cell_angle_alpha 90.00
_cell_angle_beta 90.00
_cell_angle_gamma 90.00
loop_
_atom_site_label
_atom_site_type_symbol
_atom_site_fract_x
_atom_site_fract_y
_atom_site_fract_z
Ti1 Ti 0.000 0.194 0.083
Be1 Be 0.000 0.096 0.434
Au1 Au 0.250 0.062 0.750
```

---

(3)
SrLiTcSb2: relaxed, GGA-PBE.

The energy relative to the elements, uncorrected is 0.34 eV per atom.

The structure in CIF format:
```
data_SrLiTcSb2
_space_group_name_H-M_alt 'P 4/m m m'
_space_group_IT_number 123
_space_group_name_Hall '-P 4 2'
_cell_length_a 5.082
_cell_length_b 5.082
_cell_length_c 4.653
_cell_angle_alpha 90.00
_cell_angle_beta 90.00
_cell_angle_gamma 90.00
loop_
_atom_site_label
_atom_site_type_symbol
_atom_site_fract_x
_atom_site_fract_y
_atom_site_fract_z
Sr1 Sr 0.000 0.000 0.000
Li1 Li 0.500 0.500 0.500
Tc1 Tc 0.500 0.500 0.000
Sb1 Sb 0.000 0.500 0.500
```

---

We obtain E_tot values of -6.66, -5.12, -4.11 eV per atom for the records listed above, in that order.
We obtain DOS(E_F) values of 13.80, 12.90, 5.04 states/eV per cell for the records listed above, in that order.